[1]
Here is an optimized crystal structure of In2AgSb from Alexandria via LeMat-Bulk. Energies are from PBE.

Calculated values
- theoretical density (Mg/m³) = 7.506
- uncorrected energy (eV for the cell shown) = -12.23

Lattice parameters (Å, degrees): 3.4207 4.5020 6.7312 90.00 101.45 90.00
Fractional coordinates of all 4 atoms:
1 In 0.0000 0.0000 0.0000
2 In 0.3420 0.5000 0.6949
3 Ag 0.7802 0.0000 0.5411
4 Sb 0.6233 0.5000 0.2460

[2]
Here is an optimized crystal structure of Ce3PrY2Sb6 from Alexandria via LeMat-Bulk. Energies are from PBE.

Calculated values
- theoretical density (Mg/m³) = 6.419
- uncorrected energy (eV for the cell shown) = -73.55

Lattice parameters (Å, degrees): 7.7531 7.7531 7.7486 99.61 99.61 120.00
Fractional coordinates of all 12 atoms:
1 Ce 0.0000 0.0000 0.0000
2 Ce 0.3356 0.6644 0.0000
3 Ce 0.6644 0.3356 0.0000
4 Pr 0.5000 0.5000 0.5000
5 Y 0.1674 0.8326 0.5000
6 Y 0.8326 0.1674 0.5000
7 Sb 0.0779 0.4168 0.2512
8 Sb 0.2425 0.2425 0.7461
9 Sb 0.4168 0.0779 0.2512
10 Sb 0.5832 0.9221 0.7488
11 Sb 0.7575 0.7575 0.2539
12 Sb 0.9221 0.5832 0.7488

[3]
Here is an optimized crystal structure of Li2PbCl from Alexandria via LeMat-Bulk. Energies are from PBE.

Calculated values
- excess energy over the best structure of this formula in the dataset (meV per atom) = 64
- theoretical density (Mg/m³) = 4.955
- uncorrected energy (eV for the cell shown) = -25.69

Lattice parameters (Å, degrees): 3.7018 5.6870 8.1681 90.00 90.00 90.00
Fractional coordinates of all 8 atoms:
1 Li 0.0000 0.0000 0.1953
2 Li 0.0000 0.0000 0.8047
3 Li 0.5000 0.5000 0.1953
4 Li 0.5000 0.5000 0.8047
5 Pb 0.0000 0.5000 0.5000
6 Pb 0.5000 0.0000 0.5000
7 Cl 0.0000 0.5000 0.0000
8 Cl 0.5000 0.0000 0.0000

[4]
Here is an optimized crystal structure of Re4NiOs from Alexandria via LeMat-Bulk. Energies are from PBE.

Calculated values
- theoretical density (Mg/m³) = 17.670
- uncorrected energy (eV for the cell shown) = -63.26
- formation energy from the elements (eV/atom) = 0.5911

Lattice parameters (Å, degrees): 5.0925 5.0925 5.0925 60.00 60.00 60.00
Fractional coordinates of all 6 atoms:
1 Re 0.1240 0.1240 0.1240
2 Re 0.1240 0.1240 0.6280
3 Re 0.1240 0.6280 0.1240
4 Re 0.6280 0.1240 0.1240
5 Ni 0.7500 0.7500 0.7500
6 Os 0.5000 0.5000 0.5000

[5]
Here is an optimized crystal structure of CsSb2Pb4 from Alexandria via LeMat-Bulk. Energies are from PBE.

Calculated values
- excess energy over the best structure of this formula in the dataset (meV per atom) = 129
- theoretical density (Mg/m³) = 7.544
- uncorrected energy (eV for the cell shown) = -23.99

Lattice parameters (Å, degrees): 4.1773 4.4134 16.0443 95.14 92.26 115.34
Fractional coordinates of all 7 atoms:
1 Cs 0.0000 0.0000 0.0000
2 Sb 0.2764 0.5381 0.8177
3 Sb 0.7236 0.4619 0.1823
4 Pb 0.1427 0.2911 0.4365
5 Pb 0.4280 0.8717 0.2840
6 Pb 0.5720 0.1283 0.7160
7 Pb 0.8573 0.7089 0.5635

[6]
Here is an optimized crystal structure of Li2PrBO4 from Alexandria via LeMat-Bulk. Energies are from PBE.

Calculated values
- theoretical density (Mg/m³) = 4.571
- uncorrected energy (eV for the cell shown) = -107.01

Lattice parameters (Å, degrees): 5.5616 5.5616 9.5663 90.00 90.00 145.69
Fractional coordinates of all 16 atoms:
1 Li 0.1223 0.8777 0.5399
2 Li 0.1223 0.8777 0.9601
3 Li 0.8777 0.1223 0.0399
4 Li 0.8777 0.1223 0.4601
5 Pr 0.4406 0.5594 0.7500
6 Pr 0.5594 0.4406 0.2500
7 B 0.2788 0.7212 0.2500
8 B 0.7212 0.2788 0.7500
9 O 0.1086 0.8914 0.7500
10 O 0.2194 0.7806 0.1271
11 O 0.2194 0.7806 0.3729
12 O 0.5000 0.5000 0.0000
13 O 0.5000 0.5000 0.5000
14 O 0.7806 0.2194 0.6271
15 O 0.7806 0.2194 0.8729
16 O 0.8914 0.1086 0.2500

[7]
Here is an optimized crystal structure of GdDy3Ir from Alexandria via LeMat-Bulk. Energies are from PBE.

Calculated values
- theoretical density (Mg/m³) = 8.659
- uncorrected energy (eV for the cell shown) = -38.14
- formation energy from the elements (eV/atom) = -0.2774

Lattice parameters (Å, degrees): 5.4345 5.4345 5.4345 90.00 90.00 90.00
Fractional coordinates of all 5 atoms:
1 Gd 0.0000 0.0000 0.0000
2 Dy 0.0000 0.5000 0.5000
3 Dy 0.5000 0.0000 0.5000
4 Dy 0.5000 0.5000 0.0000
5 Ir 0.5000 0.5000 0.5000

[8]
Here is an optimized crystal structure of CuSBrO from Alexandria via LeMat-Bulk. Energies are from PBE.

Calculated values
- excess energy over the best structure of this formula in the dataset (meV per atom) = 37
- theoretical density (Mg/m³) = 3.585
- uncorrected energy (eV for the cell shown) = -33.14

Lattice parameters (Å, degrees): 5.3208 5.3977 6.3220 79.20 87.89 84.15
Fractional coordinates of all 8 atoms:
1 Cu 0.0000 0.0000 0.0000
2 Cu 0.4298 0.6445 0.9881
3 S 0.1257 0.7917 0.7571
4 S 0.3305 0.3099 0.2494
5 Br 0.6390 0.8610 0.2229
6 Br 0.8126 0.5131 0.7671
7 O 0.0896 0.2117 0.2063
8 O 0.3545 0.3367 0.4720